# Mn2TlPb, relaxed, DFT PBE
data_Mn2TlPb
_space_group_name_H-M_alt 'P 1'
_space_group_IT_number 1
_space_group_name_Hall 'P 1'
_cell_length_a 5.724
_cell_length_b 5.724
_cell_length_c 5.724
_cell_angle_alpha 137.75
_cell_angle_beta 137.75
_cell_angle_gamma 61.28
loop_
_atom_site_label
_atom_site_fract_x
_atom_site_fract_y
_atom_site_fract_z
Mn1 0.000 0.000 0.000
Mn2 0.250 0.750 0.500
Pb1 0.500 0.500 0.000
Tl1 0.750 0.250 0.500
# Final energy: -5.60 eV per atom
# DOS(E_F): 2.24 states/eV/f.u.
# Theoretical density: 10.33 g/cm³
# Formation enthalpy at 0 K: 0.499 eV per atom
# Space group: I-4m2 (119)
# Crystal system: tetragonal